#one
# AcGd2Ru | the Alexandria database | PBE | optimized geometry
# * calculated volume: 29.4 Å³ per atom
# * total moment: 14.1 μB/f.u.
data_AcGd2Ru
_chemical_formula_sum 'Ac1 Gd2 Ru1'
_symmetry_space_group_name_H-M 'P 4/m m m'
_symmetry_Int_Tables_number 123
_symmetry_space_group_name_Hall '-P 4 2'
_cell_length_a 3.542
_cell_length_b 3.542
_cell_length_c 9.374
_cell_angle_alpha 90.00
_cell_angle_beta 90.00
_cell_angle_gamma 90.00
loop_
_atom_site_label
_atom_site_type_symbol
_atom_site_fract_x
_atom_site_fract_y
_atom_site_fract_z
Ac1 Ac 0.000 0.000 0.000
Gd1 Gd 0.500 0.500 0.326
Ru1 Ru 0.000 0.000 0.500

***

#two
# AcGd2Ru | the Alexandria database | PBE | optimized geometry
# * calculated volume: 34.6 Å³ per atom
# * total moment: 14.4 μB/f.u.
data_AcGd2Ru
_chemical_formula_sum 'Ac3 Gd6 Ru3'
_symmetry_space_group_name_H-M 'R -3 m'
_symmetry_Int_Tables_number 166
_symmetry_space_group_name_Hall '-R 3 2"'
_cell_length_a 3.8670
_cell_length_b 3.8670
_cell_length_c 32.0402
_cell_angle_alpha 90.00
_cell_angle_beta 90.00
_cell_angle_gamma 120.00
loop_
_atom_site_label
_atom_site_type_symbol
_atom_site_fract_x
_atom_site_fract_y
_atom_site_fract_z
Ac1 Ac 0.0000 0.0000 0.0000
Gd1 Gd 0.0000 0.0000 0.1169
Ru1 Ru 0.0000 0.0000 0.5000

***

Most stable pick: #one. Distance to second place: 0.200 eV/atom.

***

#one
# Ac2GdSb | the Alexandria database | PBE | optimized geometry
# * calculated volume: 42.1 Å³ per atom
# * total moment: 8.7 μB/f.u.
data_Ac2GdSb
_chemical_formula_sum 'Ac6 Gd3 Sb3'
_symmetry_space_group_name_H-M 'R -3 m'
_symmetry_Int_Tables_number 166
_symmetry_space_group_name_Hall '-R 3 2"'
_cell_length_a 4.3200
_cell_length_b 4.3200
_cell_length_c 31.2454
_cell_angle_alpha 90.00
_cell_angle_beta 90.00
_cell_angle_gamma 120.00
loop_
_atom_site_label
_atom_site_type_symbol
_atom_site_fract_x
_atom_site_fract_y
_atom_site_fract_z
Ac1 Ac 0.0000 0.0000 0.2351
Gd1 Gd 0.0000 0.0000 0.0000
Sb1 Sb 0.0000 0.0000 0.5000

***

#two
# Ac2GdSb | the Alexandria database | PBE | optimized geometry
# * calculated volume: 36.4 Å³ per atom
# * total moment: 7.5 μB/f.u.
data_Ac2GdSb
_chemical_formula_sum 'Ac2 Gd1 Sb1'
_symmetry_space_group_name_H-M 'P 4/m m m'
_symmetry_Int_Tables_number 123
_symmetry_space_group_name_Hall '-P 4 2'
_cell_length_a 4.345
_cell_length_b 4.345
_cell_length_c 7.714
_cell_angle_alpha 90.00
_cell_angle_beta 90.00
_cell_angle_gamma 90.00
loop_
_atom_site_label
_atom_site_type_symbol
_atom_site_fract_x
_atom_site_fract_y
_atom_site_fract_z
Ac1 Ac 0.000 0.000 0.226
Gd1 Gd 0.500 0.500 0.500
Sb1 Sb 0.500 0.500 0.000

***

Most stable pick: #two. Distance to second place: 0.121 eV/atom.

***

#one
# Ac2GdSc | the Alexandria database | PBE | optimized geometry
# * calculated volume: 37.4 Å³ per atom
# * total moment: 8.1 μB/f.u.
data_Ac2GdSc
_chemical_formula_sum 'Ac6 Gd3 Sc3'
_symmetry_space_group_name_H-M 'R -3 m'
_symmetry_Int_Tables_number 166
_symmetry_space_group_name_Hall '-R 3 2"'
_cell_length_a 3.6828
_cell_length_b 3.6828
_cell_length_c 38.1758
_cell_angle_alpha 90.00
_cell_angle_beta 90.00
_cell_angle_gamma 120.00
loop_
_atom_site_label
_atom_site_type_symbol
_atom_site_fract_x
_atom_site_fract_y
_atom_site_fract_z
Ac1 Ac 0.0000 0.0000 0.0919
Gd1 Gd 0.0000 0.0000 0.0000
Sc1 Sc 0.0000 0.0000 0.5000

***

#two
# Ac2GdSc | the Alexandria database | PBE | optimized geometry
# * calculated volume: 36.0 Å³ per atom
# * total moment: 7.3 μB/f.u.
data_Ac2GdSc
_chemical_formula_sum 'Ac2 Gd1 Sc1'
_symmetry_space_group_name_H-M 'P 4/m m m'
_symmetry_Int_Tables_number 123
_symmetry_space_group_name_Hall '-P 4 2'
_cell_length_a 5.416
_cell_length_b 5.416
_cell_length_c 4.907
_cell_angle_alpha 90.00
_cell_angle_beta 90.00
_cell_angle_gamma 90.00
loop_
_atom_site_label
_atom_site_type_symbol
_atom_site_fract_x
_atom_site_fract_y
_atom_site_fract_z
Ac1 Ac 0.000 0.500 0.000
Gd1 Gd 0.000 0.000 0.500
Sc1 Sc 0.500 0.500 0.500

***

Most stable pick: #two. Distance to second place: 0.193 eV/atom.

***

#one
# Ac2GdSc | the Alexandria database | PBE | optimized geometry
# * calculated volume: 36.0 Å³ per atom
# * total moment: 7.6 μB/f.u.
data_Ac2GdSc
_chemical_formula_sum 'Ac8 Gd4 Sc4'
_symmetry_space_group_name_H-M 'F m -3 m'
_symmetry_Int_Tables_number 225
_symmetry_space_group_name_Hall '-F 4 2 3'
_cell_length_a 8.321
_cell_length_b 8.321
_cell_length_c 8.321
_cell_angle_alpha 90.00
_cell_angle_beta 90.00
_cell_angle_gamma 90.00
loop_
_atom_site_label
_atom_site_type_symbol
_atom_site_fract_x
_atom_site_fract_y
_atom_site_fract_z
Ac1 Ac 0.250 0.250 0.250
Gd1 Gd 0.000 0.000 0.000
Sc1 Sc 0.000 0.000 0.500

***

#two
# Ac2GdSc | the Alexandria database | PBE | optimized geometry
# * calculated volume: 36.0 Å³ per atom
# * total moment: 7.3 μB/f.u.
data_Ac2GdSc
_chemical_formula_sum 'Ac2 Gd1 Sc1'
_symmetry_space_group_name_H-M 'P 4/m m m'
_symmetry_Int_Tables_number 123
_symmetry_space_group_name_Hall '-P 4 2'
_cell_length_a 3.862
_cell_length_b 3.862
_cell_length_c 9.655
_cell_angle_alpha 90.00
_cell_angle_beta 90.00
_cell_angle_gamma 90.00
loop_
_atom_site_label
_atom_site_type_symbol
_atom_site_fract_x
_atom_site_fract_y
_atom_site_fract_z
Ac1 Ac 0.000 0.000 0.235
Gd1 Gd 0.500 0.500 0.500
Sc1 Sc 0.500 0.500 0.000

***

Most stable pick: #two. Distance to second place: 0.039 eV/atom.